Fe4ReMo at its PBEsol-relaxed geometry. Source: Alexandria, functional SCAN.

a = 6.5275 Å, b = 6.5275 Å, c = 6.5275 Å
α = 90.00°, β = 90.00°, γ = 90.00°
With the nearest neighbours (Å) after each atom.
Space group F-43m (No. 216)
Unique sites:
Fe 0.1248 0.1248 0.1248  6 Fe 2.30-2.31
Re 0.2500 0.2500 0.7500  12 Fe 2.71, 4 Mo 2.83
Mo 0.0000 0.0000 0.5000  12 Fe 2.71, 4 Re 2.83

- energy of formation (eV per atom) = 0.08
- M_tot (μB/atom) = 1.16

---

FeRe2Mo at its PBEsol-relaxed geometry. Source: Alexandria, functional SCAN.

a = 2.6626 Å, b = 2.6626 Å, c = 7.7254 Å
α = 90.00°, β = 90.00°, γ = 90.00°
With the nearest neighbours (Å) after each atom.
Space group P4/mmm (No. 123)
Unique sites:
Fe 0.0000 0.0000 0.0000  8 Re 2.55, 4 Fe 2.66
Re 0.5000 0.5000 0.2228  4 Fe 2.55, 4 Re 2.66, 4 Mo 2.85
Mo 0.0000 0.0000 0.5000  4 Mo 2.66, 8 Re 2.85

- energy of formation (eV per atom) = 0.18
- offset from the most stable computed form (eV/atom) = 0.1120
- M_tot (μB/atom) = 0.29

---

Fe2MoRh at its PBEsol-relaxed geometry. Source: Alexandria, functional SCAN.

a = 3.6578 Å, b = 3.6578 Å, c = 7.4437 Å
α = 90.00°, β = 90.00°, γ = 90.00°
With the nearest neighbours (Å) after each atom.
Space group I-4m2 (No. 119)
Unique sites:
Fe 0.0000 0.0000 0.0000  4 Mo 2.59, 4 Fe 2.61, 4 Rh 2.61
Fe 0.0000 0.5000 0.2500  4 Rh 2.59, 4 Mo 2.61, 4 Fe 2.61
Mo 0.0000 0.0000 0.5000  8 Fe 2.59-2.61, 4 Rh 2.61
Rh 0.0000 0.5000 0.7500  8 Fe 2.59-2.61, 4 Mo 2.61

- energy of formation (eV per atom) = 0.00
- M_tot (μB/atom) = 1.01

---

Question: What is the formula in the second record?
Answer: FeRe2Mo

---

Question: The highest energy of formation belongs to which entry?
Answer: FeRe2Mo

---

Question: The highest M_tot belongs to which entry?
Answer: Fe4ReMo

---

Repeat the third record exactly.
Fe2MoRh at its PBEsol-relaxed geometry. Source: Alexandria, functional SCAN.

a = 3.6578 Å, b = 3.6578 Å, c = 7.4437 Å
α = 90.00°, β = 90.00°, γ = 90.00°
With the nearest neighbours (Å) after each atom.
Space group I-4m2 (No. 119)
Unique sites:
Fe 0.0000 0.0000 0.0000  4 Mo 2.59, 4 Fe 2.61, 4 Rh 2.61
Fe 0.0000 0.5000 0.2500  4 Rh 2.59, 4 Mo 2.61, 4 Fe 2.61
Mo 0.0000 0.0000 0.5000  8 Fe 2.59-2.61, 4 Rh 2.61
Rh 0.0000 0.5000 0.7500  8 Fe 2.59-2.61, 4 Mo 2.61

- energy of formation (eV per atom) = 0.00
- M_tot (μB/atom) = 1.01